# 1
{
  "formula": "Er12Tm6Pb",
  "functional": "GGA-PBE",
  "state": "optimized geometry",
  "n_ef_per_ev_fu": 27.670,
  "formation_enthalpy_0k_mev_per_atom": -23,
  "e_tot_ev_per_atom": -4.51,
  "polymorph_energy_ev_per_atom": 0.0000,
  "lattice_angstrom": [[8.764, -0.965, -2.741], [-3.439, 8.118, -2.741], [-0.718, -0.965, 9.154]],
  "species": ["Er", "Er", "Tm", "Er", "Er", "Er", "Er", "Tm", "Tm", "Tm", "Pb", "Er", "Er", "Er", "Tm", "Er", "Er", "Tm", "Er"],
  "fractional_positions": [[0.105, 0.156, 0.735], [0.895, 0.844, 0.265], [0.527, 0.788, 0.684], [0.735, 0.105, 0.156], [0.375, 0.055, 0.587], [0.945, 0.413, 0.625], [0.844, 0.265, 0.895], [0.473, 0.212, 0.316], [0.684, 0.527, 0.788], [0.212, 0.316, 0.473], [0.000, 0.000, 0.000], [0.625, 0.945, 0.413], [0.265, 0.895, 0.844], [0.587, 0.375, 0.055], [0.316, 0.473, 0.212], [0.055, 0.587, 0.375], [0.413, 0.625, 0.945], [0.788, 0.684, 0.527], [0.156, 0.735, 0.105]]
}



# 2
{
  "formula": "Er12Tm6Pb",
  "functional": "GGA-PBE",
  "state": "optimized geometry",
  "n_ef_per_ev_fu": 27.500,
  "formation_enthalpy_0k_mev_per_atom": 70,
  "e_tot_ev_per_atom": -4.42,
  "polymorph_energy_ev_per_atom": 0.0935,
  "lattice_angstrom": [[8.292, 0.697, 0.835], [-0.568, 8.302, 0.835], [-0.568, -0.662, 8.318]],
  "species": ["Er", "Tm", "Er", "Tm", "Er", "Er", "Tm", "Tm", "Er", "Er", "Er", "Er", "Er", "Pb", "Tm", "Er", "Er", "Tm", "Er"],
  "fractional_positions": [[0.991, 0.810, 0.636], [0.699, 0.257, 0.095], [0.432, 0.778, 0.542], [0.743, 0.905, 0.301], [0.810, 0.636, 0.991], [0.542, 0.432, 0.778], [0.095, 0.699, 0.257], [0.905, 0.301, 0.743], [0.568, 0.222, 0.458], [0.222, 0.458, 0.568], [0.636, 0.991, 0.810], [0.364, 0.009, 0.190], [0.458, 0.568, 0.222], [0.000, 0.000, 0.000], [0.301, 0.743, 0.905], [0.190, 0.364, 0.009], [0.778, 0.542, 0.432], [0.257, 0.095, 0.699], [0.009, 0.190, 0.364]]
}



# 3
{
  "formula": "ErTm4Pb",
  "functional": "GGA-PBE",
  "state": "optimized geometry",
  "n_ef_per_ev_fu": 8.657,
  "formation_enthalpy_0k_mev_per_atom": -135,
  "e_tot_ev_per_atom": -4.49,
  "polymorph_energy_ev_per_atom": 0.0000,
  "lattice_angstrom": [[-6.030, 0.931, -4.436], [4.932, -5.174, 2.412], [-4.319, 2.073, 3.756]],
  "species": ["Tm", "Pb", "Tm", "Er", "Tm", "Tm"],
  "fractional_positions": [[0.346, 0.669, 0.015], [0.000, 0.000, 0.000], [0.654, 0.331, 0.985], [0.000, 0.500, 0.500], [0.315, 0.145, 0.461], [0.685, 0.855, 0.539]]
}



# 4
{
  "formula": "Er3TmPb3",
  "functional": "GGA-PBE",
  "state": "optimized geometry",
  "n_ef_per_ev_fu": 7.582,
  "formation_enthalpy_0k_mev_per_atom": -322,
  "e_tot_ev_per_atom": -4.51,
  "polymorph_energy_ev_per_atom": 0.1770,
  "lattice_angstrom": [[9.089, 0.000, 0.000], [4.544, 7.871, 0.000], [4.544, 2.624, 6.088]],
  "species": ["Er", "Er", "Pb", "Tm", "Er", "Tm", "Pb", "Er", "Pb", "Pb", "Er", "Pb", "Pb", "Er"],
  "fractional_positions": [[0.834, 0.086, 0.745], [0.166, 0.914, 0.255], [0.528, 0.915, 0.244], [0.669, 0.669, 0.994], [0.086, 0.335, 0.745], [0.331, 0.331, 0.006], [0.314, 0.528, 0.244], [0.914, 0.665, 0.255], [0.085, 0.686, 0.756], [0.686, 0.472, 0.756], [0.335, 0.834, 0.745], [0.915, 0.314, 0.244], [0.472, 0.085, 0.756], [0.665, 0.166, 0.255]]
}



What magnetization values result from the calculations? In sequence: 0.00, 0.00, 0.00, 0.00 μB/f.u..